No. 1
# Ta2BeAs | Alexandria via LeMat-Bulk | PBE | optimized geometry
data_Ta2BeAs
_chemical_formula_sum 'Ta8 Be4 As4'
_cell_length_a 6.2441
_cell_length_b 6.2441
_cell_length_c 6.2441
_cell_angle_alpha 90.00
_cell_angle_beta 90.00
_cell_angle_gamma 90.00
_symmetry_space_group_name_H-M 'F m -3 m'
_symmetry_Int_Tables_number 225
_symmetry_space_group_name_Hall '-F 4 2 3'
loop_
_atom_site_label
_atom_site_fract_x
_atom_site_fract_y
_atom_site_fract_z
Ta1 0.2500 0.2500 0.2500
Be1 0.0000 0.0000 0.0000
As1 0.0000 0.0000 0.5000
# - excess energy over the best structure of this formula in the dataset (kJ/mol of atoms) = 49.0
# - crystal system = cubic



No. 2
# Ta2BeAs | Alexandria via LeMat-Bulk | PBE | optimized geometry
data_Ta2BeAs
_chemical_formula_sum 'Ta4 Be2 As2'
_cell_length_a 5.0078
_cell_length_b 3.5128
_cell_length_c 7.0868
_cell_angle_alpha 90.00
_cell_angle_beta 109.70
_cell_angle_gamma 90.00
_symmetry_space_group_name_H-M 'P 1 21/m 1'
_symmetry_Int_Tables_number 11
loop_
_symmetry_equiv_pos_as_xyz
'x,y,z'
'-x,-y,-z'
'-x,y+1/2,-z'
'x,-y+1/2,z'
loop_
_atom_site_label
_atom_site_fract_x
_atom_site_fract_y
_atom_site_fract_z
Ta1 0.2005 0.2500 0.4133
Ta2 0.2531 0.7500 0.0612
Be1 0.1319 0.2500 0.7879
As1 0.3666 0.7500 0.7144
# - excess energy over the best structure of this formula in the dataset (kJ/mol of atoms) = 0.0
# - crystal system = monoclinic



No. 3
# TaTi2BeAs | Alexandria via LeMat-Bulk | PBE | optimized geometry
data_TaTi2BeAs
_chemical_formula_sum 'Ta1 Ti2 Be1 As1'
_cell_length_a 4.4477
_cell_length_b 4.4477
_cell_length_c 3.9360
_cell_angle_alpha 90.00
_cell_angle_beta 90.00
_cell_angle_gamma 90.00
_symmetry_space_group_name_H-M 'P 4/m m m'
_symmetry_Int_Tables_number 123
_symmetry_space_group_name_Hall '-P 4 2'
loop_
_atom_site_label
_atom_site_fract_x
_atom_site_fract_y
_atom_site_fract_z
Ta1 0.0000 0.0000 0.0000
Ti1 0.0000 0.5000 0.5000
Be1 0.5000 0.5000 0.5000
As1 0.5000 0.5000 0.0000
# - energy (eV per atom) = -6.85
# - crystal system = tetragonal



Number 1: Fermi-level density of states 1.152 states/eV/atom, total moment 0.000 μB/f.u., theoretical density 12.2 g/cm3. Number 2: Fermi-level density of states 0.329 states/eV/atom, total moment 0.000 μB/f.u., theoretical density 12.6 g/cm3. Number 3: Fermi-level density of states 0.408 states/eV/atom, total moment 0.000 μB/f.u., theoretical density 7.7 g/cm3.